[1]
# OsPbAu2

Crystalline OsPbAu2 at its relaxed geometry (PBE, Alexandria).

Cell lengths 5.403, 5.403, 5.303 Å; angles 115.52, 115.52, 33.98 degrees
Sites, in units of the cell vectors:
Os  0.000  0.000  0.000
Pb  0.264  0.264  0.954
Au  0.474  0.474  0.546
Au  0.712  0.712  0.421

Properties
SG	No. 8
magnetization	0.0	μB/f.u.
energy	-4.779	eV/atom

=====

[2]
# RbTl2AuI4

Crystalline RbTl2AuI4 at its relaxed geometry (PBE, Alexandria).

Cell lengths 8.523, 8.523, 17.645 Å; angles 90.00, 90.00, 146.87 degrees
Sites, in units of the cell vectors:
Rb  0.111  0.889  0.750
Rb  0.889  0.111  0.250
Tl  0.366  0.634  0.555
Tl  0.366  0.634  0.945
Tl  0.634  0.366  0.055
Tl  0.634  0.366  0.445
Au  0.166  0.834  0.250
Au  0.834  0.166  0.750
I  0.000  0.000  0.000
I  0.000  0.000  0.500
I  0.279  0.721  0.125
I  0.279  0.721  0.375
I  0.427  0.573  0.750
I  0.573  0.427  0.250
I  0.721  0.279  0.625
I  0.721  0.279  0.875

Properties
uncorrected formation energy	-5.45	eV/f.u.
SG	No. 63
magnetization	0.0	μB/f.u.